(1)
Ni5Pd4Pt2: relaxed, PBE.

Uncorrected energy ... -0.203 hartree per atom
Energy of formation ... 10 kJ/mol of atoms

Unit cell a=8.5632 b=4.9832 c=8.0030 alpha=90.00 beta=115.47 gamma=90.00
Space group C2/m (No. 12)
One atom of each set of equivalent atoms:
1 Ni 0.0000 0.0000 0.0000
2 Ni 0.0163 0.2525 0.2629
3 Pd 0.1879 0.5000 0.0514
4 Pd 0.2183 0.5000 0.7089
5 Pt 0.1787 0.0000 0.5705

=====

(2)
Ac7Tl2Ru2: relaxed, PBE.

Uncorrected energy ... -0.180 hartree per atom
Polymorph energy (0 for the lowest one) ... 37 meV/atom
Energy of formation ... -15 kJ/mol of atoms

Unit cell a=4.3850 b=16.7710 c=10.5988 alpha=90.00 beta=90.00 gamma=90.00
Space group Imm2 (No. 44)
One atom of each set of equivalent atoms:
1 Ac 0.0000 0.0000 0.0000
2 Ac 0.0000 0.0993 0.3877
3 Ac 0.0000 0.3268 0.6251
4 Ac 0.0000 0.3862 0.2033
5 Tl 0.0000 0.2328 0.9072
6 Ru 0.0000 0.0000 0.6428
7 Ru 0.0000 0.5000 0.6994

=====

(3)
Ba2FeCl: relaxed, PBE.

Uncorrected energy ... -0.121 hartree per atom
Polymorph energy (0 for the lowest one) ... 679 meV/atom

Unit cell a=8.0157 b=8.0157 c=8.0157 alpha=90.00 beta=90.00 gamma=90.00
Space group F-43m (No. 216)
One atom of each set of equivalent atoms:
1 Ba 0.0000 0.0000 0.0000
2 Ba 0.2500 0.2500 0.2500
3 Fe 0.2500 0.2500 0.7500
4 Cl 0.0000 0.0000 0.5000

=====

Number 1: density 11.949 g/cm3. Number 2: density 9.373 g/cm3. Number 3: density 4.720 g/cm3.